(P)
Computed, not measured: crystalline K2Sn5Hg3 at its relaxed geometry at the PBE-GGA level of DFT.

Unit cell a=5.145 b=5.145 c=12.175 alpha=90.00 beta=90.00 gamma=90.00
Positions (direct):
K (0.000, 0.500, 0.237)
K (0.500, 0.000, 0.763)
Sn (0.000, 0.000, 0.500)
Sn (0.000, 0.500, 0.635)
Sn (0.500, 0.000, 0.365)
Sn (0.500, 0.500, 0.000)
Sn (0.500, 0.500, 0.500)
Hg (0.000, 0.000, 0.000)
Hg (0.000, 0.500, 0.875)
Hg (0.500, 0.000, 0.125)

* calculated volume: 32.2 Å³/atom

(Q)
Computed, not measured: crystalline K2Sn5Hg3 at its relaxed geometry at the PBE-GGA level of DFT.

Unit cell a=10.087 b=10.087 c=10.087 alpha=105.38 beta=89.15 gamma=138.57
Positions (direct):
K (0.122, 0.241, 0.363)
K (0.378, 0.741, 0.120)
K (0.622, 0.259, 0.880)
K (0.878, 0.759, 0.637)
Sn (0.010, 0.750, 0.260)
Sn (0.130, 0.875, 0.005)
Sn (0.250, 0.750, 0.500)
Sn (0.370, 0.375, 0.745)
Sn (0.490, 0.750, 0.740)
Sn (0.510, 0.250, 0.260)
Sn (0.630, 0.625, 0.255)
Sn (0.750, 0.250, 0.500)
Sn (0.870, 0.125, 0.995)
Sn (0.990, 0.250, 0.740)
Hg (0.121, 0.644, 0.765)
Hg (0.250, 0.250, 0.000)
Hg (0.379, 0.144, 0.523)
Hg (0.621, 0.856, 0.477)
Hg (0.750, 0.750, 0.000)
Hg (0.879, 0.356, 0.235)

* calculated volume: 31.4 Å³/atom

Which structure loses on stability? (P) does.

(P)
Computed, not measured: crystalline KSnHg4 at its relaxed geometry at the PBE-GGA level of DFT.

Unit cell a=9.261 b=9.261 c=6.374 alpha=105.46 beta=105.46 gamma=44.77
Positions (direct):
K (0.193, 0.193, 0.296)
K (0.807, 0.807, 0.704)
Sn (0.434, 0.434, 0.623)
Sn (0.566, 0.566, 0.377)
Hg (0.089, 0.663, 0.268)
Hg (0.216, 0.784, 0.000)
Hg (0.303, 0.303, 0.891)
Hg (0.337, 0.911, 0.732)
Hg (0.663, 0.089, 0.268)
Hg (0.697, 0.697, 0.109)
Hg (0.784, 0.216, 0.000)
Hg (0.911, 0.337, 0.732)

* calculated volume: 30.7 Å³/atom

(Q)
Computed, not measured: crystalline KSnHg4 at its relaxed geometry at the PBE-GGA level of DFT.

Unit cell a=6.214 b=6.214 c=6.214 alpha=60.00 beta=60.00 gamma=60.00
Positions (direct):
K (0.000, 0.000, 0.000)
Sn (0.250, 0.250, 0.250)
Hg (0.125, 0.625, 0.625)
Hg (0.625, 0.125, 0.625)
Hg (0.625, 0.625, 0.125)
Hg (0.625, 0.625, 0.625)

* calculated volume: 28.3 Å³/atom

(R)
Computed, not measured: crystalline KSnHg4 at its relaxed geometry at the PBE-GGA level of DFT.

Unit cell a=6.681 b=6.681 c=9.417 alpha=106.08 beta=106.08 gamma=65.06
Positions (direct):
K (0.195, 0.195, 0.296)
K (0.805, 0.805, 0.704)
Sn (0.450, 0.450, 0.691)
Sn (0.550, 0.550, 0.309)
Hg (0.146, 0.637, 0.056)
Hg (0.208, 0.792, 0.500)
Hg (0.213, 0.213, 0.749)
Hg (0.363, 0.854, 0.944)
Hg (0.637, 0.146, 0.056)
Hg (0.787, 0.787, 0.251)
Hg (0.792, 0.208, 0.500)
Hg (0.854, 0.363, 0.944)

* calculated volume: 30.0 Å³/atom

Which structure loses on stability? (Q) does.